1.
Material: SrLa3Te4
Method: DFT, PBE
State: optimized geometry

It has space group Cmmm (No. 65), with a = 9.272 Å, b = 13.043 Å, c = 4.591 Å, α = 90.00°, β = 90.00° and γ = 90.00°. The asymmetric unit holds Sr at (0.000, 0.000, 0.000), La at (0.000, 0.500, 0.000), La at (0.250, 0.250, 0.500), Te at (0.000, 0.251, 0.000) and Te at (0.248, 0.500, 0.500).

For the density of states at the Fermi level, the calculation gives 0.623 states/eV per atom. For the uncorrected energy, the calculation gives -83.76 eV/cell. Its size of the total moment is 0.0 μB/f.u.

---

2.
Material: Pm2SmY3Te6
Method: DFT, PBE
State: optimized geometry

It has space group C2/m (No. 12), with a = 19.261 Å, b = 4.384 Å, c = 8.886 Å, α = 90.00°, β = 103.75° and γ = 90.00°. The asymmetric unit holds Pm at (0.167, 0.000, 0.334), Sm at (0.000, 0.500, 0.000), Y at (0.000, 0.500, 0.500), Y at (0.167, 0.000, 0.833), Te at (0.002, 0.000, 0.747), Te at (0.165, 0.500, 0.588) and Te at (0.168, 0.500, 0.078).

For the density of states at the Fermi level, the calculation gives 0.530 states/eV per atom. For the uncorrected energy, the calculation gives -137.50 eV/cell. Its size of the total moment is 0.0 μB/f.u.